1.
Material: TaSeBr2
Method: DFT, PBE-GGA
State: optimized geometry

Fermi-level density of states: 0.364 states/eV per atom
total magnetization: 0.00 μB/cell
total DFT energy (no corrections): -19.985 eV/cell

a b c (Å): 8.2255 8.2255 8.2255
angles (deg): 157.44 148.32 39.24
Positions (direct):
Br 0.1072 0.1072 0.0000
Br 0.3928 0.3928 0.0000
Se 0.7500 0.2500 0.5000
Ta 0.2500 0.7500 0.5000

2.
Material: Sr3Er2Ge3O12
Method: DFT, PBE-GGA
State: optimized geometry

Fermi-level density of states: 0.000 states/eV per atom
total magnetization: 0.00 μB/cell
total DFT energy (no corrections): -564.959 eV/cell

a b c (Å): 11.4291 11.4291 11.4291
angles (deg): 109.47 109.47 109.47
Positions (direct):
Sr 0.2500 0.3750 0.1250
Sr 0.7500 0.6250 0.8750
Sr 0.7500 0.1250 0.3750
Sr 0.1250 0.2500 0.3750
Sr 0.3750 0.7500 0.1250
Sr 0.2500 0.8750 0.6250
Sr 0.8750 0.7500 0.6250
Sr 0.6250 0.2500 0.8750
Sr 0.3750 0.1250 0.2500
Sr 0.6250 0.8750 0.7500
Sr 0.1250 0.3750 0.7500
Sr 0.8750 0.6250 0.2500
Er 0.0000 0.0000 0.0000
Er 0.5000 0.0000 0.5000
Er 0.0000 0.5000 0.5000
Er 0.5000 0.0000 0.0000
Er 0.5000 0.5000 0.0000
Er 0.5000 0.5000 0.5000
Er 0.0000 0.0000 0.5000
Er 0.0000 0.5000 0.0000
Ge 0.2500 0.6250 0.3750
Ge 0.7500 0.3750 0.6250
Ge 0.7500 0.8750 0.1250
Ge 0.3750 0.2500 0.6250
Ge 0.6250 0.7500 0.3750
Ge 0.2500 0.1250 0.8750
Ge 0.1250 0.7500 0.8750
Ge 0.8750 0.2500 0.1250
Ge 0.6250 0.3750 0.2500
Ge 0.3750 0.6250 0.7500
Ge 0.8750 0.1250 0.7500
Ge 0.1250 0.8750 0.2500
O 0.4882 0.3810 0.2916
O 0.5118 0.6190 0.7084
O 0.5893 0.1965 0.2084
O 0.9107 0.1190 0.6072
O 0.2916 0.4882 0.3810
O 0.3035 0.9107 0.2916
O 0.4107 0.8035 0.7916
O 0.0893 0.8810 0.3928
O 0.7084 0.5118 0.6190
O 0.6965 0.0893 0.7084
O 0.0118 0.3035 0.8928
O 0.2084 0.5893 0.1965
O 0.1190 0.0118 0.2084
O 0.9882 0.6965 0.1072
O 0.7916 0.4107 0.8035
O 0.8810 0.9882 0.7916
O 0.6072 0.9107 0.1190
O 0.1965 0.4882 0.6072
O 0.3928 0.0893 0.8810
O 0.8035 0.5118 0.3928
O 0.8928 0.0118 0.3035
O 0.3810 0.5893 0.8928
O 0.1072 0.9882 0.6965
O 0.6190 0.4107 0.1072
O 0.3810 0.2916 0.4882
O 0.5893 0.8928 0.3810
O 0.6190 0.7084 0.5118
O 0.4107 0.1072 0.6190
O 0.1190 0.6072 0.9107
O 0.0118 0.2084 0.1190
O 0.8810 0.3928 0.0893
O 0.9882 0.7916 0.8810
O 0.3035 0.8928 0.0118
O 0.9107 0.2916 0.3035
O 0.6965 0.1072 0.9882
O 0.0893 0.7084 0.6965
O 0.1965 0.2084 0.5893
O 0.4882 0.6072 0.1965
O 0.8035 0.7916 0.4107
O 0.5118 0.3928 0.8035
O 0.2916 0.3035 0.9107
O 0.7084 0.6965 0.0893
O 0.2084 0.1190 0.0118
O 0.7916 0.8810 0.9882
O 0.8928 0.3810 0.5893
O 0.1072 0.6190 0.4107
O 0.6072 0.1965 0.4882
O 0.3928 0.8035 0.5118

3.
Material: Tb3DyEr4S8
Method: DFT, PBE-GGA
State: optimized geometry

Fermi-level density of states: 0.550 states/eV per atom
total magnetization: 0.00 μB/cell
total DFT energy (no corrections): -101.390 eV/cell

a b c (Å): 7.7796 7.7936 7.7792
angles (deg): 119.93 120.00 90.00
Positions (direct):
Tb 0.5000 0.5000 0.0000
Tb 0.5000 0.5000 0.5000
Tb 0.0000 0.5000 0.5000
Dy 0.0000 0.5000 0.0000
Er 0.5000 0.0000 0.0000
Er 0.5000 0.0000 0.5000
Er 0.0000 0.0000 0.0000
Er 0.0000 0.0000 0.5000
S 0.2514 0.7558 0.0044
S 0.2515 0.7558 0.5029
S 0.2478 0.2434 0.4956
S 0.7529 0.7558 0.0044
S 0.2471 0.2442 0.9956
S 0.7522 0.7566 0.5044
S 0.7485 0.2442 0.4971
S 0.7486 0.2442 0.9956

4.
Material: Mn2Si2Ag
Method: DFT, PBE-GGA
State: optimized geometry

Fermi-level density of states: 0.428 states/eV per atom
total magnetization: 7.70 μB/cell
total DFT energy (no corrections): -64.637 eV/cell

a b c (Å): 7.1183 7.1183 2.6486
angles (deg): 90.00 90.00 90.00
Last column: magnetic moment on the atom in μB.
Positions (direct):
Si 0.1671 0.6671 0.5000  -0.09
Si 0.6671 0.8329 0.5000  -0.09
Si 0.8329 0.3329 0.5000  -0.09
Si 0.3329 0.1671 0.5000  -0.09
Mn 0.3727 0.8727 0.0000  2.00
Mn 0.8727 0.6273 0.0000  2.00
Mn 0.6273 0.1273 0.0000  2.00
Mn 0.1273 0.3727 0.0000  2.00
Ag 0.0000 0.0000 0.0000  -0.01
Ag 0.5000 0.5000 0.0000  -0.01